# LaBeSnIr, relaxed, DFT PBE
data_LaBeSnIr
_cell_length_a 6.902
_cell_length_b 6.902
_cell_length_c 6.902
_cell_angle_alpha 90.00
_cell_angle_beta 90.00
_cell_angle_gamma 90.00
_space_group_name_H-M_alt 'F -4 3 m'
_space_group_IT_number 216
_space_group_name_Hall 'F -4 2 3'
loop_
_atom_site_label
_atom_site_fract_x
_atom_site_fract_y
_atom_site_fract_z
_atom_site_occupancy
La1 0.000 0.000 0.000 1
Be1 0.000 0.000 0.500 1
Sn1 0.250 0.250 0.250 1
Ir1 0.250 0.250 0.750 1
# ΔE to the lowest computed polymorph: 24.98 kJ per mole of atoms


# LaGeW, relaxed, DFT PBE
data_LaGeW
_cell_length_a 6.953
_cell_length_b 6.953
_cell_length_c 6.953
_cell_angle_alpha 90.00
_cell_angle_beta 90.00
_cell_angle_gamma 90.00
_space_group_name_H-M_alt 'F -4 3 m'
_space_group_IT_number 216
_space_group_name_Hall 'F -4 2 3'
loop_
_atom_site_label
_atom_site_fract_x
_atom_site_fract_y
_atom_site_fract_z
_atom_site_occupancy
La1 0.000 0.000 0.000 1
Ge1 0.250 0.250 0.750 1
W1 0.250 0.250 0.250 1
# ΔE to the lowest computed polymorph: 84.64 kJ per mole of atoms


# DyEr2Fe6CoNi2, relaxed, DFT PBE
data_DyEr2Fe6CoNi2
_cell_length_a 4.9907
_cell_length_b 4.9907
_cell_length_c 24.5297
_cell_angle_alpha 90.00
_cell_angle_beta 90.00
_cell_angle_gamma 120.00
_space_group_name_H-M_alt 'R -3 m'
_space_group_IT_number 166
_space_group_name_Hall '-R 3 2"'
loop_
_atom_site_label
_atom_site_fract_x
_atom_site_fract_y
_atom_site_fract_z
_atom_site_occupancy
Dy1 0.0000 0.0000 0.0000 1
Er1 0.0000 0.0000 0.1419 1
Fe1 0.0007 0.5004 0.9175 1
Co1 0.0000 0.0000 0.5000 1
Ni1 0.0000 0.0000 0.3328 1
# ΔE_f: -0.17 eV/atom


# Tb2GdSn4Pb3, relaxed, DFT PBE
data_Tb2GdSn4Pb3
_cell_length_a 4.636
_cell_length_b 25.745
_cell_length_c 4.622
_cell_angle_alpha 90.00
_cell_angle_beta 90.00
_cell_angle_gamma 90.00
_space_group_name_H-M_alt 'C m m m'
_space_group_IT_number 65
_space_group_name_Hall '-C 2 2'
loop_
_atom_site_label
_atom_site_fract_x
_atom_site_fract_y
_atom_site_fract_z
_atom_site_occupancy
Tb1 0.000 0.190 0.000 1
Gd1 0.000 0.000 0.000 1
Sn1 0.000 0.099 0.500 1
Sn2 0.000 0.291 0.500 1
Pb1 0.000 0.402 0.000 1
Pb2 0.000 0.500 0.500 1
# ΔE to the lowest computed polymorph: 0.04 kJ per mole of atoms


# HoTmAl2Pt4, relaxed, DFT PBE
data_HoTmAl2Pt4
_cell_length_a 4.3303
_cell_length_b 4.3303
_cell_length_c 9.1503
_cell_angle_alpha 90.00
_cell_angle_beta 90.00
_cell_angle_gamma 120.00
_space_group_name_H-M_alt 'P -6 m 2'
_space_group_IT_number 187
_space_group_name_Hall 'P -6 2'
loop_
_atom_site_label
_atom_site_fract_x
_atom_site_fract_y
_atom_site_fract_z
_atom_site_occupancy
Ho1 0.0000 0.0000 0.0000 1
Tm1 0.6667 0.3333 0.5000 1
Al1 0.3333 0.6667 0.2507 1
Pt1 0.0000 0.0000 0.3374 1
Pt2 0.6667 0.3333 0.1664 1
# Electronic total energy: -6.3018 eV per atom


# LaTmLu, relaxed, DFT PBE
data_LaTmLu
_cell_length_a 7.696
_cell_length_b 7.696
_cell_length_c 7.696
_cell_angle_alpha 90.00
_cell_angle_beta 90.00
_cell_angle_gamma 90.00
_space_group_name_H-M_alt 'F -4 3 m'
_space_group_IT_number 216
_space_group_name_Hall 'F -4 2 3'
loop_
_atom_site_label
_atom_site_fract_x
_atom_site_fract_y
_atom_site_fract_z
_atom_site_occupancy
La1 0.000 0.000 0.000 1
Tm1 0.000 0.000 0.500 1
Lu1 0.250 0.250 0.250 1
# ΔE_f: 0.70 eV/atom
# ΔE to the lowest computed polymorph: 0.00 kJ per mole of atoms